First-principles (PBE) data for a relaxed structure of La2MnRu2, as listed in the Alexandria database.

The space group is P4/mbm (No. 127) and the conventional cell measures 6.572, 6.572 and 4.754 Å, with angles of 90.00, 90.00 and 90.00 degrees. The inequivalent atoms are La at (0.179, 0.321, 0.000), Mn at (0.000, 0.000, 0.500) and Ru at (0.154, 0.654, 0.500).

Its total energy is -7.395 eV/atom. The formation energy comes out at 120 meV/atom.

***

First-principles (PBE) data for a relaxed structure of TcB3C, as listed in the Alexandria database.

The space group is Pm-3m (No. 221) and the conventional cell measures 3.441, 3.441 and 3.441 Å, with angles of 90.00, 90.00 and 90.00 degrees. The inequivalent atoms are Tc at (0.000, 0.000, 0.000), B at (0.000, 0.500, 0.500) and C at (0.500, 0.500, 0.500).

Its total energy is -6.397 eV/atom. The formation energy comes out at 1527 meV/atom.

***

First-principles (PBE) data for a relaxed structure of HfSc3Ga4, as listed in the Alexandria database.

The space group is Pmma (No. 51) and the conventional cell measures 9.652, 6.283 and 4.942 Å, with angles of 90.00, 90.00 and 90.00 degrees. The inequivalent atoms are Hf at (0.000, 0.000, 0.000), Sc at (0.000, 0.500, 0.000), Sc at (0.250, 0.000, 0.408), Sc at (0.250, 0.500, 0.413), Ga at (0.000, 0.249, 0.500) and Ga at (0.250, 0.248, 0.901).

Its total energy is -5.645 eV/atom. The formation energy comes out at -513 meV/atom.

***

First-principles (PBE) data for a relaxed structure of DyEr2Tl3S6, as listed in the Alexandria database.

The space group is C2/m (No. 12) and the conventional cell measures 6.940, 12.020 and 7.871 Å, with angles of 90.00, 107.10 and 90.00 degrees. The inequivalent atoms are Dy at (0.000, 0.000, 0.000), Er at (0.000, 0.333, 0.000), Tl at (0.000, 0.166, 0.500), Tl at (0.000, 0.500, 0.500), S at (0.230, 0.500, 0.196) and S at (0.233, 0.168, 0.197).

The uncorrected formation energy comes out at -1490 meV per atom. Its total energy is -5.290 eV/atom.

***

First-principles (PBE) data for a relaxed structure of AcGd2Zr, as listed in the Alexandria database.

The space group is P4/mmm (No. 123) and the conventional cell measures 4.984, 4.984 and 5.115 Å, with angles of 90.00, 90.00 and 90.00 degrees. The inequivalent atoms are Ac at (0.000, 0.000, 0.000), Gd at (0.000, 0.500, 0.500) and Zr at (0.500, 0.500, 0.000).

Its total energy is -10.040 eV/atom. The formation energy comes out at 165 meV/atom.

***

First-principles (PBE) data for a relaxed structure of La2Cu3Sn4Hg, as listed in the Alexandria database.

The space group is P-4m2 (No. 115) and the conventional cell measures 4.565, 4.565 and 11.114 Å, with angles of 90.00, 90.00 and 90.00 degrees. The inequivalent atoms are La at (0.000, 0.500, 0.249), Cu at (0.000, 0.500, 0.873), Cu at (0.500, 0.500, 0.500), Sn at (0.000, 0.000, 0.000), Sn at (0.000, 0.500, 0.645), Sn at (0.500, 0.500, 0.000) and Hg at (0.000, 0.000, 0.500).

Its total energy is -4.267 eV/atom. The formation energy comes out at -421 meV/atom.

***

First-principles (PBE) data for a relaxed structure of CuRh2I, as listed in the Alexandria database.

The space group is Fm-3m (No. 225) and the conventional cell measures 6.354, 6.354 and 6.354 Å, with angles of 90.00, 90.00 and 90.00 degrees. The inequivalent atoms are Cu at (0.000, 0.000, 0.000), Rh at (0.250, 0.250, 0.250) and I at (0.000, 0.000, 0.500).

The uncorrected formation energy comes out at 462 meV per atom. Its total energy is -4.625 eV/atom.

***

First-principles (PBE) data for a relaxed structure of KTe2IN, as listed in the Alexandria database.

The space group is P4/mmm (No. 123) and the conventional cell measures 6.724, 6.724 and 5.327 Å, with angles of 90.00, 90.00 and 90.00 degrees. The inequivalent atoms are K at (0.000, 0.000, 0.000), Te at (0.000, 0.500, 0.000), I at (0.500, 0.500, 0.500) and N at (0.000, 0.000, 0.500).

The uncorrected formation energy comes out at 1357 meV per atom. Its total energy is -2.094 eV/atom.

***

First-principles (PBE) data for a relaxed structure of La2NdSi6, as listed in the Alexandria database.

The space group is P6/mmm (No. 191) and the conventional cell measures 7.1837, 7.1837 and 4.2803 Å, with angles of 90.00, 90.00 and 120.00 degrees. The inequivalent atoms are La at (0.3333, 0.6667, 0.0000), Nd at (0.0000, 0.0000, 0.0000) and Si at (0.0000, 0.3318, 0.5000).

The uncorrected formation energy comes out at -621 meV per atom. Its total energy is -5.862 eV/atom.

***

First-principles (PBE) data for a relaxed structure of SmDy2BiC, as listed in the Alexandria database.

The space group is P4/mmm (No. 123) and the conventional cell measures 4.918, 4.918 and 5.076 Å, with angles of 90.00, 90.00 and 90.00 degrees. The inequivalent atoms are Sm at (0.000, 0.000, 0.000), Dy at (0.000, 0.500, 0.500), Bi at (0.500, 0.500, 0.000) and C at (0.000, 0.000, 0.500).

Its total energy is -5.920 eV/atom. The formation energy comes out at -514 meV/atom.

***

First-principles (PBE) data for a relaxed structure of Hf6TaZn5, as listed in the Alexandria database.

The space group is Immm (No. 71) and the conventional cell measures 4.734, 6.618 and 14.171 Å, with angles of 90.00, 90.00 and 90.00 degrees. The inequivalent atoms are Hf at (0.000, 0.249, 0.000), Hf at (0.000, 0.250, 0.333), Ta at (0.000, 0.000, 0.500), Zn at (0.000, 0.000, 0.167), Zn at (0.000, 0.500, 0.163) and Zn at (0.000, 0.500, 0.500).

Its total energy is -6.640 eV/atom. The formation energy comes out at -145 meV/atom.

***

First-principles (PBE) data for a relaxed structure of LaPrEr5Tm2, as listed in the Alexandria database.

The space group is Cmc2_1 (No. 36) and the conventional cell measures 5.585, 19.516 and 10.761 Å, with angles of 90.00, 90.00 and 90.00 degrees. The inequivalent atoms are La at (0.000, 0.207, 0.000), Pr at (0.000, 0.419, 0.444), Er at (0.000, 0.018, 0.023), Er at (0.000, 0.285, 0.295), Er at (0.000, 0.297, 0.698), Er at (0.000, 0.394, 0.017), Er at (0.000, 0.477, 0.728), Tm at (0.000, 0.107, 0.730) and Tm at (0.000, 0.114, 0.313).

Its total energy is -4.439 eV/atom. The formation energy comes out at 168 meV/atom.